# 1
The following is a DFT calculation (PBE) of a relaxed structure of PrIrSe2.

```
PrIrSe2
1.0
1.912 1.104 8.425
-1.912 1.104 8.425
0.000 -2.207 8.425
Pr Ir Se
1 1 2
Cartesian
0.000 0.000 0.000 Pr
0.000 0.000 12.638 Ir
0.000 0.000 2.985 Se
0.000 0.000 22.291 Se
```

Results
Theoretical density = 7.6 Mg/m³

# 2
The following is a DFT calculation (PBE) of a relaxed structure of Pr2IrSe.

```
Pr2IrSe
1.0
4.187 0.000 0.000
0.000 6.001 0.000
0.000 0.000 8.703
Pr Ir Se
4 2 2
Cartesian
1.047 1.500 1.070 Pr
1.047 1.500 5.761 Pr
3.140 4.501 2.942 Pr
3.140 4.501 7.633 Pr
1.047 4.501 0.999 Ir
3.140 1.500 7.704 Ir
1.047 4.501 5.268 Se
3.140 1.500 3.435 Se
```

Results
Energy relative to the lowest polymorph listed for this composition = 0.0 meV/atom
Theoretical density = 8.4 Mg/m³

# 3
The following is a DFT calculation (PBE) of a relaxed structure of Pr2IrSe.

```
Pr2IrSe
1.0
3.607 -2.078 0.000
3.607 2.078 0.000
-2.385 0.000 7.306
Pr Ir Se
2 1 1
Cartesian
1.206 0.000 1.663 Pr
3.622 0.000 5.643 Pr
3.607 0.000 0.000 Ir
-1.193 0.000 3.653 Se
```

Results
Energy relative to the lowest polymorph listed for this composition = 15.2 meV/atom
Theoretical density = 8.4 Mg/m³

# 4
The following is a DFT calculation (PBE) of a relaxed structure of Pr4TeIrSe2.

```
Pr4TeIrSe2
1.0
7.547 0.000 0.000
0.000 4.263 0.000
-2.458 0.000 7.256
Pr Te Ir Se
4 1 1 2
Cartesian
1.204 0.000 1.601 Pr
0.020 2.131 5.600 Pr
5.068 2.131 1.656 Pr
3.884 0.000 5.655 Pr
-1.229 0.000 3.628 Te
0.000 2.131 0.000 Ir
3.773 0.000 0.000 Se
2.544 2.131 3.628 Se
```

Results
Theoretical density = 7.4 Mg/m³

# 5
The following is a DFT calculation (PBE) of a relaxed structure of Pr4Te2IrSe.

```
Pr4Te2IrSe
1.0
7.659 0.000 0.000
0.000 4.303 0.000
-2.471 0.000 7.405
Pr Te Ir Se
4 2 1 1
Cartesian
1.173 0.000 1.561 Pr
-0.027 2.151 5.754 Pr
5.215 2.151 1.651 Pr
4.015 0.000 5.844 Pr
-1.236 0.000 3.703 Te
2.594 2.151 3.703 Te
0.000 2.151 0.000 Ir
3.830 0.000 0.000 Se
```

Results
Theoretical density = 7.4 Mg/m³

# 6
The following is a DFT calculation (PBE) of a relaxed structure of Pr3Si2Ir3.

```
Pr3Si2Ir3
1.0
7.804 0.000 0.000
0.000 15.002 0.000
0.000 0.000 5.789
Pr Si Ir
12 8 12
Cartesian
0.202 1.634 0.784 Pr
0.202 5.867 0.784 Pr
1.323 3.751 3.477 Pr
2.579 11.252 0.583 Pr
3.700 9.135 3.679 Pr
3.700 13.368 3.679 Pr
4.104 1.634 2.110 Pr
4.104 5.867 2.110 Pr
5.225 3.751 5.206 Pr
6.481 11.252 2.311 Pr
7.603 9.135 5.004 Pr
7.603 13.368 5.004 Pr
0.997 8.970 2.155 Si
0.997 13.534 2.155 Si
2.905 1.469 5.049 Si
2.905 6.032 5.049 Si
4.899 8.970 0.739 Si
4.899 13.534 0.739 Si
6.807 1.469 3.634 Si
6.807 6.032 3.634 Si
1.268 0.591 3.502 Ir
1.268 6.910 3.502 Ir
1.401 11.252 3.296 Ir
2.502 3.751 0.401 Ir
2.634 8.092 0.608 Ir
2.634 14.412 0.608 Ir
5.170 0.591 5.181 Ir
5.170 6.910 5.181 Ir
5.303 11.252 5.387 Ir
6.404 3.751 2.493 Ir
6.536 8.092 2.286 Ir
6.536 14.412 2.286 Ir
```

Results
Theoretical density = 10.3 Mg/m³

Number 1: formation energy from raw total energies -362 meV/atom, DOS at the Fermi energy 1.696 states/eV per cell, calculated total energy -5.5149 eV per atom. Number 2: formation energy from raw total energies -1186 meV/atom, DOS at the Fermi energy 3.607 states/eV per cell, calculated total energy -6.6624 eV per atom. Number 3: formation energy from raw total energies -1171 meV/atom, DOS at the Fermi energy 2.186 states/eV per cell, calculated total energy -6.6472 eV per atom. Number 4: formation energy from raw total energies -1400 meV/atom, DOS at the Fermi energy 7.169 states/eV per cell, calculated total energy -6.1607 eV per atom. Number 5: formation energy from raw total energies -1344 meV/atom, DOS at the Fermi energy 7.045 states/eV per cell, calculated total energy -6.0622 eV per atom. Number 6: formation energy from raw total energies -885 meV/atom, DOS at the Fermi energy 18.626 states/eV per cell, calculated total energy -7.3556 eV per atom.